VASP calculation (PBE) on an optimized crystal structure of SrIr3.

Results
energy of formation from the pure elements: 458 meV per atom
ρ: 14.8 Mg/m³
magnetic moment: 0.0000 μB/atom
Fermi-level density of states: 1.297 states/eV/atom

Cell and atoms, written as POSCAR:
```
SrIr3
1.0
3.740 -4.289 0.000
3.740 4.289 0.000
0.000 0.000 4.657
Sr Ir
2 6
direct
0.080 0.920 0.750
0.920 0.080 0.250
0.107 0.551 0.250
0.431 0.569 0.750
0.449 0.893 0.250
0.551 0.107 0.750
0.569 0.431 0.250
0.893 0.449 0.750
```